This record from the Open Quantum Materials Database describes a relaxed structure of TbInPd. The functional is PBE.

Uncorrected energy in eV per atom: -4.7952
ρ in g/cm³: 9.37

Geometry as CIF:
```
data_TbInPd
_space_group_name_H-M_alt 'P -6 2 m'
_space_group_IT_number 189
_space_group_name_Hall 'P -6 -2'
_cell_length_a 7.2222
_cell_length_b 7.2222
_cell_length_c 4.4723
_cell_angle_alpha 90.00
_cell_angle_beta 90.00
_cell_angle_gamma 120.00
loop_
_atom_site_label
_atom_site_fract_x
_atom_site_fract_y
_atom_site_fract_z
Tb1 0.0000 0.5618 0.0000
In1 0.0000 0.0000 0.0000
In2 0.3333 0.6667 0.5000
Pd1 0.0000 0.2398 0.5000
```